No. 1
Here is an optimized crystal structure of TaTc2Cl2 from Alexandria. Energies are from GGA-PBE.

Geometry as CIF:
```
data_TaTc2Cl2
_cell_length_a 4.191
_cell_length_b 4.191
_cell_length_c 9.500
_cell_angle_alpha 90.00
_cell_angle_beta 90.00
_cell_angle_gamma 90.00
_symmetry_space_group_name_H-M 'I 4/m m m'
_symmetry_Int_Tables_number 139
_symmetry_space_group_name_Hall '-I 4 2'
loop_
_atom_site_label
_atom_site_type_symbol
_atom_site_fract_x
_atom_site_fract_y
_atom_site_fract_z
Ta1 Ta 0.000 0.000 0.000
Tc1 Tc 0.000 0.500 0.250
Cl1 Cl 0.000 0.000 0.365
```

---

No. 2
Here is an optimized crystal structure of TaTcCl2 from Alexandria. Energies are from GGA-PBE.

Geometry as CIF:
```
data_TaTcCl2
_cell_length_a 4.099
_cell_length_b 4.099
_cell_length_c 8.022
_cell_angle_alpha 90.00
_cell_angle_beta 90.00
_cell_angle_gamma 90.00
_symmetry_space_group_name_H-M 'I 4/m m m'
_symmetry_Int_Tables_number 139
_symmetry_space_group_name_Hall '-I 4 2'
loop_
_atom_site_label
_atom_site_type_symbol
_atom_site_fract_x
_atom_site_fract_y
_atom_site_fract_z
Ta1 Ta 0.000 0.000 0.000
Tc1 Tc 0.000 0.000 0.500
Cl1 Cl 0.000 0.500 0.250
```

---

No. 3
Here is an optimized crystal structure of TaTcCl2 from Alexandria. Energies are from GGA-PBE.

Geometry as CIF:
```
data_TaTcCl2
_cell_length_a 2.887
_cell_length_b 5.600
_cell_length_c 8.821
_cell_angle_alpha 90.00
_cell_angle_beta 90.00
_cell_angle_gamma 90.00
_symmetry_space_group_name_H-M 'C m m m'
_symmetry_Int_Tables_number 65
_symmetry_space_group_name_Hall '-C 2 2'
loop_
_atom_site_label
_atom_site_type_symbol
_atom_site_fract_x
_atom_site_fract_y
_atom_site_fract_z
Ta1 Ta 0.000 0.000 0.000
Tc1 Tc 0.000 0.000 0.500
Cl1 Cl 0.000 0.500 0.238
```

---

No. 4
Here is an optimized crystal structure of TaTcCl2 from Alexandria. Energies are from GGA-PBE.

Geometry as CIF:
```
data_TaTcCl2
_cell_length_a 3.147
_cell_length_b 3.147
_cell_length_c 6.194
_cell_angle_alpha 90.00
_cell_angle_beta 90.00
_cell_angle_gamma 90.00
_symmetry_space_group_name_H-M 'P 4/m m m'
_symmetry_Int_Tables_number 123
_symmetry_space_group_name_Hall '-P 4 2'
loop_
_atom_site_label
_atom_site_type_symbol
_atom_site_fract_x
_atom_site_fract_y
_atom_site_fract_z
Ta1 Ta 0.000 0.000 0.000
Tc1 Tc 0.000 0.000 0.500
Cl1 Cl 0.500 0.500 0.239
```

---

No. 5
Here is an optimized crystal structure of TaTc2Cl2 from Alexandria. Energies are from GGA-PBE.

Geometry as CIF:
```
data_TaTc2Cl2
_cell_length_a 7.240
_cell_length_b 7.240
_cell_length_c 2.914
_cell_angle_alpha 90.00
_cell_angle_beta 90.00
_cell_angle_gamma 90.00
_symmetry_space_group_name_H-M 'P 4/m b m'
_symmetry_Int_Tables_number 127
_symmetry_space_group_name_Hall '-P 4 2ab'
loop_
_atom_site_label
_atom_site_type_symbol
_atom_site_fract_x
_atom_site_fract_y
_atom_site_fract_z
Ta1 Ta 0.000 0.000 0.000
Tc1 Tc 0.165 0.335 0.500
Cl1 Cl 0.144 0.644 0.000
```

---

No. 6
Here is an optimized crystal structure of TaTcCl2 from Alexandria. Energies are from GGA-PBE.

Geometry as CIF:
```
data_TaTcCl2
_cell_length_a 6.204
_cell_length_b 6.204
_cell_length_c 6.204
_cell_angle_alpha 90.00
_cell_angle_beta 90.00
_cell_angle_gamma 90.00
_symmetry_space_group_name_H-M 'F m -3 m'
_symmetry_Int_Tables_number 225
_symmetry_space_group_name_Hall '-F 4 2 3'
loop_
_atom_site_label
_atom_site_type_symbol
_atom_site_fract_x
_atom_site_fract_y
_atom_site_fract_z
Ta1 Ta 0.000 0.000 0.000
Tc1 Tc 0.000 0.000 0.500
Cl1 Cl 0.250 0.250 0.250
```

---

| no. | energy above the most stable polymorph in this dataset (eV per atom) | calculated total energy (eV for the cell shown) |
| --- | --- | --- |
| 1 | 0.221 | -61.5 |
| 2 | 1.358 | -45.0 |
| 3 | 0.986 | -47.9 |
| 4 | 1.335 | -22.6 |
| 5 | 0.000 | -63.7 |
| 6 | 1.332 | -90.3 |